Compound: Tl2InHg
Source: the Alexandria database
Functional: GGA-PBEsol
Structure: optimized geometry

Calculated values
density of states at the Fermi level	2.34	states/eV/f.u.
calculated formation energy	0.02	eV per atom
symmetry	No. 139

Cell: 5.9765 5.9765 5.9765 Å, 135.28 135.28 65.09°
Sites, in units of the cell vectors:
Tl: 0.2500 0.7500 0.5000
Tl: 0.7500 0.2500 0.5000
In: 0.0000 0.0000 0.0000
Hg: 0.5000 0.5000 0.0000